The following is a PBE-GGA calculation of a geometry-optimized TiAg structure, from the Alexandria database.

Unit cell a=7.323 b=7.323 c=7.323 alpha=90.00 beta=90.00 gamma=90.00
Sites, in units of the cell vectors:
1 Ti 0.750 0.000 0.500
2 Ti 0.250 0.000 0.500
3 Ti 0.500 0.250 0.000
4 Ti 0.500 0.750 0.000
5 Ti 0.000 0.500 0.750
6 Ti 0.000 0.500 0.250
7 Ag 0.000 0.750 0.500
8 Ag 0.250 0.500 0.000
9 Ag 0.000 0.250 0.500
10 Ag 0.500 0.000 0.750
11 Ag 0.500 0.000 0.250
12 Ag 0.750 0.500 0.000

Values from the calculation:
The crystal system is cubic. The value obtained for the total magnetization is 7.0 Bohr magnetons per cell. The value obtained for the formation energy is 1.4074 eV per atom. Its space group is Pm-3n (223).